[1]
Here is BeAgP2 at its PBEsol-relaxed geometry from Alexandria via LeMat-Bulk. Energies are from meta-GGA SCAN.

Summary:
As for the magnetic moment: 0.000 μB/cell. The total energy is -13.740 eV per atom. As for the formation energy: 389.9 meV/atom.

Unit cell a=3.324 b=3.324 c=5.184 alpha=90.00 beta=90.00 gamma=90.00
Sites, in units of the cell vectors:
Ag  0.500  0.500  0.000
P  0.000  0.000  0.703
P  0.000  0.000  0.297
Be  0.500  0.500  0.500

[2]
Here is SrBe2AgP at its PBEsol-relaxed geometry from Alexandria via LeMat-Bulk. Energies are from meta-GGA SCAN.

Summary:
As for the magnetic moment: 0.000 μB/cell. The total energy is -14.046 eV per atom. As for the formation energy: 503.7 meV/atom.

Unit cell a=4.390 b=4.390 c=5.674 alpha=90.00 beta=90.00 gamma=90.00
Sites, in units of the cell vectors:
Sr  0.000  0.000  0.500
P  0.500  0.500  0.500
Ag  0.000  0.000  0.000
Be  0.000  0.500  0.000
Be  0.500  0.000  0.000

Number 1: density of states at the Fermi level 0.95 states/eV/cell. Number 2: density of states at the Fermi level 2.41 states/eV/cell.